#i
A plane-wave DFT calculation with PBE was carried out for a relaxed KYOs2 crystal. Values from VASP.

```
&SYSTEM
  ibrav = 0, nat = 4, ntyp = 3
/
ATOMIC_SPECIES
K 39.10 K.upf
Os 190.23 Os.upf
Y 88.91 Y.upf
CELL_PARAMETERS angstrom
-0.2344 3.2891 0.7804
-3.3454 -0.3379 0.4197
1.3318 -2.0352 8.9781
ATOMIC_POSITIONS crystal
K 0.5000 0.5000 0.8088
Os 0.0000 0.0000 0.0979
Os 0.5000 0.5000 0.1926
Y 0.0000 0.0000 0.4007
```

Properties
Spin magnetization in μB per cell: 0.00
Space group: No. 99


#ii
A plane-wave DFT calculation with PBE was carried out for a relaxed KYOs2 crystal. Values from VASP.

```
&SYSTEM
  ibrav = 0, nat = 4, ntyp = 3
/
ATOMIC_SPECIES
K 39.10 K.upf
Os 190.23 Os.upf
Y 88.91 Y.upf
CELL_PARAMETERS angstrom
-1.3035 4.2270 1.8805
-4.6280 1.2975 0.0181
-2.4408 0.1390 4.1383
ATOMIC_POSITIONS crystal
K 0.5000 0.5000 0.5000
Os 0.0000 0.0000 0.0000
Os 0.2500 0.2500 0.2500
Y 0.7500 0.7500 0.7500
```

Properties
Spin magnetization in μB per cell: 0.00
Space group: No. 216


Question: of the structures shown, which is the most stable? Reply: #i.